VASP calculation (PBE+U) on crystalline CoPdIO2 at its relaxed geometry.

```
CoPdIO2
1.0
3.7232 0.0000 0.0000
0.0000 3.7232 0.0000
0.0000 0.0000 6.2624
I Co O Pd
1 1 2 1
Direct
0.0000 0.0000 0.5000
0.0000 0.0000 0.0000
0.0000 0.5000 0.0000
0.5000 0.0000 0.0000
0.5000 0.5000 0.5000
```

Properties
Energy above the lowest structure with this stoichiometry, meV per atom: 0
Theoretical density, Mg/m³: 6.20
Total energy, eV per formula unit: -21.8